DFT (PBE) results for a relaxed structure of Zr2MoOs.

Properties
Total energy: -9.877 eV/atom
Theoretical density: 10.979 g/cm³
Space-group type: F-43m (216)

POSCAR file:
```
Zr2MoOs
1.0
0.0000 3.2847 3.2847
3.2847 0.0000 3.2847
3.2847 3.2847 0.0000
Os Zr Mo
1 2 1
Direct
0.0000 0.0000 0.0000 Os
0.2500 0.2500 0.2500 Zr
0.5000 0.5000 0.5000 Zr
0.7500 0.7500 0.7500 Mo
```

DFT (PBE) results for a relaxed structure of Y2ThIr9.

Properties
Total energy: -8.977 eV/atom
Theoretical density: 16.351 g/cm³
Space-group type: R-3m (166)

POSCAR file:
```
Y2ThIr9
1.0
2.6691 1.5410 8.8053
-2.6691 1.5410 8.8053
0.0000 -3.0821 8.8053
Ir Y Th
9 2 1
Direct
0.9169 0.4177 0.4177 Ir
0.4177 0.9169 0.4177 Ir
0.5000 0.5000 0.5000 Ir
0.3330 0.3330 0.3330 Ir
0.0831 0.5823 0.5823 Ir
0.6670 0.6670 0.6670 Ir
0.5823 0.5823 0.0831 Ir
0.4177 0.4177 0.9169 Ir
0.5823 0.0831 0.5823 Ir
0.8596 0.8596 0.8596 Y
0.1404 0.1404 0.1404 Y
0.0000 0.0000 0.0000 Th
```

DFT (PBE) results for a relaxed structure of Co2Mo.

Properties
Total energy: -7.062 eV/atom
Theoretical density: 7.417 g/cm³
Space-group type: P4_2/mnm (136)

POSCAR file:
```
Co2Mo
1.0
5.9573 0.0000 0.0000
0.0000 5.9573 0.0000
0.0000 0.0000 2.6975
Co Mo
4 2
Direct
0.2343 0.7657 0.5000 Co
0.7657 0.2343 0.5000 Co
0.7343 0.7343 0.0000 Co
0.2657 0.2657 0.0000 Co
0.0000 0.0000 0.0000 Mo
0.5000 0.5000 0.5000 Mo
```

DFT (PBE) results for a relaxed structure of ErSi2Ni.

Properties
Total energy: -5.863 eV/atom
Theoretical density: 7.411 g/cm³
Space-group type: Pmn2_1 (31)

POSCAR file:
```
ErSi2Ni
1.0
-1.9296 2.8773 -1.7551
-5.1720 -2.8675 0.9852
-0.5126 2.5603 4.7609
Si Er Ni
4 2 2
Direct
0.0000 0.6345 0.3660 Si
0.0000 0.2720 0.1408 Si
0.5000 0.3655 0.8660 Si
0.5000 0.7280 0.6408 Si
0.0000 0.0906 0.6320 Er
0.5000 0.9094 0.1320 Er
0.5000 0.4060 0.3612 Ni
0.0000 0.5940 0.8612 Ni
```

DFT (PBE) results for a relaxed structure of LaSnSbPd2.

Properties
Theoretical density: 8.607 g/cm³
E above lowest polymorph: 0 meV per atom
Space-group type: P4/nmm (129)

POSCAR file:
```
LaSnSbPd2
1.0
4.5811 0.0000 0.0000
0.0000 4.5811 0.0000
0.0000 0.0000 10.8882
Sb Pd Sn La
2 4 2 2
Direct
0.5000 0.0000 0.1299 Sb
0.0000 0.5000 0.8701 Sb
0.5000 0.5000 0.0000 Pd
0.0000 0.0000 0.0000 Pd
0.5000 0.0000 0.3685 Pd
0.0000 0.5000 0.6315 Pd
0.0000 0.0000 0.5000 Sn
0.5000 0.5000 0.5000 Sn
0.0000 0.5000 0.2400 La
0.5000 0.0000 0.7600 La
```

DFT (PBE) results for a relaxed structure of Ga2Tc2Sn.

Properties
Total energy: -6.066 eV/atom
Theoretical density: 8.996 g/cm³
Space-group type: I4/mmm (139)

POSCAR file:
```
Ga2Tc2Sn
1.0
2.4903 -2.4903 0.0000
2.4903 2.4903 0.0000
-2.4903 0.0000 6.7593
Ga Tc Sn
2 2 1
Direct
0.2500 0.7500 0.5000 Ga
0.7500 0.2500 0.5000 Ga
0.6021 0.6021 0.2042 Tc
0.3979 0.3979 0.7958 Tc
0.0000 0.0000 0.0000 Sn
```

DFT (PBE) results for a relaxed structure of PrZrHg.

Properties
Total energy: -4.308 eV/atom
Theoretical density: 7.914 g/cm³
Space-group type: F-43m (216)

POSCAR file:
```
PrZrHg
1.0
4.2023 -2.6166 0.9727
1.0232 -1.4667 4.7174
-0.2983 -4.8798 1.2452
Pr Hg Zr
1 1 1
Direct
0.2500 0.2500 0.2500 Pr
0.0000 0.0000 0.0000 Hg
0.7500 0.7500 0.7500 Zr
```

DFT (PBE) results for a relaxed structure of Nd2Sm2C2I2Br2Cl.

Properties
Theoretical density: 5.730 g/cm³
E above lowest polymorph: 37 meV per atom
Space-group type: C2/m (12)

POSCAR file:
```
Nd2Sm2C2I2Br2Cl
1.0
-1.4700 9.6319 2.3068
-4.7687 8.7959 0.3831
-2.8650 -3.9620 6.6347
Br C I Nd Sm Cl
2 2 2 2 2 1
Direct
0.1675 0.1675 0.3239 Br
0.8325 0.8325 0.6761 Br
0.5366 0.5366 0.5192 C
0.4634 0.4634 0.4808 C
0.8387 0.8387 0.1149 I
0.1613 0.1613 0.8851 I
0.3450 0.3450 0.4113 Nd
0.6550 0.6550 0.5887 Nd
0.9982 0.9982 0.7022 Sm
0.0018 0.0018 0.2978 Sm
0.5000 0.5000 0.0000 Cl
```

DFT (PBE) results for a relaxed structure of LuZrPd.

Properties
Total energy: -6.356 eV/atom
Theoretical density: 8.531 g/cm³
Space-group type: F-43m (216)

POSCAR file:
```
LuZrPd
1.0
0.0000 3.3100 3.3100
3.3100 0.0000 3.3100
3.3100 3.3100 0.0000
Lu Zr Pd
1 1 1
Direct
0.2500 0.2500 0.2500 Lu
0.7500 0.7500 0.7500 Zr
0.0000 0.0000 0.0000 Pd
```

DFT (PBE) results for a relaxed structure of SiGeP3Au.

Properties
Total energy: -4.995 eV/atom
Theoretical density: 5.311 g/cm³
Space-group type: Cm (8)

POSCAR file:
```
SiGeP3Au
1.0
1.3273 5.0969 4.0488
-2.4827 4.5525 4.1527
0.7744 -4.9871 2.2677
P Au Ge Si
3 1 1 1
Direct
0.1698 0.1698 0.1539 P
0.8262 0.8262 0.8317 P
0.5045 0.5045 0.5257 P
0.0008 0.0008 0.2524 Au
0.3336 0.3336 0.5812 Ge
0.6650 0.6650 0.9117 Si
```

DFT (PBE) results for a relaxed structure of LaGe2Ir3.

Properties
Total energy: -7.454 eV/atom
Theoretical density: 13.232 g/cm³
Space-group type: P6/mmm (191)

POSCAR file:
```
LaGe2Ir3
1.0
-5.5401 1.1653 -0.4885
2.4800 -3.5901 -3.6401
-0.8283 -2.9535 2.3486
Ir Ge La
3 2 1
Direct
0.0000 0.5000 0.5000 Ir
0.5000 0.5000 0.5000 Ir
0.5000 0.0000 0.5000 Ir
0.3333 0.6667 0.0000 Ge
0.6667 0.3333 0.0000 Ge
0.0000 0.0000 0.0000 La
```

DFT (PBE) results for a relaxed structure of LiNdZnCd.

Properties
Total energy: -2.513 eV/atom
Theoretical density: 6.623 g/cm³
Space-group type: F-43m (216)

POSCAR file:
```
LiNdZnCd
1.0
0.0000 3.4551 3.4551
3.4551 0.0000 3.4551
3.4551 3.4551 0.0000
Li Cd Nd Zn
1 1 1 1
Direct
0.2500 0.2500 0.2500 Li
0.0000 0.0000 0.0000 Cd
0.5000 0.5000 0.5000 Nd
0.7500 0.7500 0.7500 Zn
```